(1)
The following is a DFT calculation (GGA-PBE) of crystalline PmMgIn at its relaxed geometry.

As for the energy above the most stable polymorph in this dataset: 538 meV/atom. The value obtained for the spin magnetization is 0.00 μB/atom.

The structure belongs to space group F-43m (No. 216); the cell edges are 7.260, 7.260 and 7.260 Å and the angles 90.00°, 90.00° and 90.00°. The inequivalent atoms are Pm at (0.000, 0.000, 0.000), Mg at (0.250, 0.250, 0.250) and In at (0.250, 0.250, 0.750).



(2)
The following is a DFT calculation (GGA-PBE) of crystalline PmMgIn at its relaxed geometry.

As for the energy above the most stable polymorph in this dataset: 130 meV/atom. The value obtained for the spin magnetization is 0.00 μB/atom.

The structure belongs to space group F-43m (No. 216); the cell edges are 7.129, 7.129 and 7.129 Å and the angles 90.00°, 90.00° and 90.00°. The inequivalent atoms are Pm at (0.000, 0.000, 0.000), Mg at (0.000, 0.000, 0.500) and In at (0.250, 0.250, 0.750).



(3)
The following is a DFT calculation (GGA-PBE) of crystalline PmMgIn at its relaxed geometry.

As for the energy above the most stable polymorph in this dataset: 0 meV/atom. The value obtained for the spin magnetization is 0.01 μB/atom.

The structure belongs to space group P-6m2 (No. 187); the cell edges are 5.0144, 5.0144 and 3.6726 Å and the angles 90.00°, 90.00° and 120.00°. The inequivalent atoms are Pm at (0.0000, 0.0000, 0.0000), Mg at (0.6667, 0.3333, 0.5000) and In at (0.3333, 0.6667, 0.5000).



(4)
The following is a DFT calculation (GGA-PBE) of crystalline TbPmMgIn at its relaxed geometry.

The calculation puts the electronic total energy at -3.747 eV/atom. The value obtained for the spin magnetization is 0.00 μB/atom.

The structure belongs to space group F-43m (No. 216); the cell edges are 7.612, 7.612 and 7.612 Å and the angles 90.00°, 90.00° and 90.00°. The inequivalent atoms are Tb at (0.000, 0.000, 0.000), Pm at (0.000, 0.000, 0.500), Mg at (0.250, 0.250, 0.250) and In at (0.250, 0.250, 0.750).



(5)
The following is a DFT calculation (GGA-PBE) of crystalline PrMgIn at its relaxed geometry.

The calculation puts the electronic total energy at -2.861 eV/atom. The value obtained for the spin magnetization is 0.00 μB/atom.

The structure belongs to space group F-43m (No. 216); the cell edges are 7.336, 7.336 and 7.336 Å and the angles 90.00°, 90.00° and 90.00°. The inequivalent atoms are Pr at (0.000, 0.000, 0.000), Mg at (0.250, 0.250, 0.750) and In at (0.250, 0.250, 0.250).



(6)
The following is a DFT calculation (GGA-PBE) of crystalline PrMgIn at its relaxed geometry.

The calculation puts the electronic total energy at -3.441 eV/atom. The value obtained for the spin magnetization is 0.00 μB/atom.

The structure belongs to space group P-62m (No. 189); the cell edges are 7.7461, 7.7461 and 4.7928 Å and the angles 90.00°, 90.00° and 120.00°. The inequivalent atoms are Pr at (0.0000, 0.4297, 0.0000), Mg at (0.0000, 0.7588, 0.5000), In at (0.0000, 0.0000, 0.0000) and In at (0.3333, 0.6667, 0.5000).



(7)
The following is a DFT calculation (GGA-PBE) of crystalline PrMgIn at its relaxed geometry.

The calculation puts the electronic total energy at -3.266 eV/atom. The value obtained for the spin magnetization is 0.00 μB/atom.

The structure belongs to space group F-43m (No. 216); the cell edges are 7.203, 7.203 and 7.203 Å and the angles 90.00°, 90.00° and 90.00°. The inequivalent atoms are Pr at (0.000, 0.000, 0.000), Mg at (0.000, 0.000, 0.500) and In at (0.250, 0.250, 0.750).



(8)
The following is a DFT calculation (GGA-PBE) of crystalline PrMgInSe3 at its relaxed geometry.

The calculation puts the electronic total energy at -4.458 eV/atom. The value obtained for the spin magnetization is 0.00 μB/atom.

The structure belongs to space group Cmcm (No. 63); the cell edges are 4.324, 14.438 and 11.606 Å and the angles 90.00°, 90.00° and 90.00°. The inequivalent atoms are Pr at (0.000, 0.000, 0.000), Mg at (0.000, 0.463, 0.250), In at (0.000, 0.246, 0.750), Se at (0.000, 0.067, 0.250) and Se at (0.000, 0.367, 0.066).



(9)
The following is a DFT calculation (GGA-PBE) of crystalline Tb2PrMg3Tl2In at its relaxed geometry.

The calculation puts the electronic total energy at -3.268 eV/atom. The value obtained for the spin magnetization is 0.00 μB/atom.

The structure belongs to space group Amm2 (No. 38); the cell edges are 4.717, 13.287 and 7.552 Å and the angles 90.00°, 90.00° and 90.00°. The inequivalent atoms are Tb at (0.000, 0.216, 0.000), Pr at (0.000, 0.000, 0.351), Mg at (0.500, 0.000, 0.028), Mg at (0.500, 0.120, 0.665), Tl at (0.500, 0.171, 0.284) and In at (0.000, 0.000, 0.793).



(10)
The following is a DFT calculation (GGA-PBE) of crystalline PrMgInTe3 at its relaxed geometry.

The calculation puts the electronic total energy at -3.986 eV/atom. The value obtained for the spin magnetization is 0.00 μB/atom.

The structure belongs to space group Cmcm (No. 63); the cell edges are 4.551, 15.277 and 12.114 Å and the angles 90.00°, 90.00° and 90.00°. The inequivalent atoms are Pr at (0.000, 0.000, 0.000), Mg at (0.000, 0.466, 0.250), In at (0.000, 0.242, 0.750), Te at (0.000, 0.078, 0.250) and Te at (0.000, 0.360, 0.063).



(11)
The following is a DFT calculation (GGA-PBE) of crystalline Pr3Mg3Tl2In at its relaxed geometry.

The calculation puts the electronic total energy at -3.317 eV/atom. The value obtained for the spin magnetization is 0.00 μB/atom.

The structure belongs to space group P-62m (No. 189); the cell edges are 7.7584, 7.7584 and 4.7920 Å and the angles 90.00°, 90.00° and 120.00°. The inequivalent atoms are Pr at (0.0000, 0.4295, 0.0000), Mg at (0.0000, 0.7594, 0.5000), Tl at (0.3333, 0.6667, 0.5000) and In at (0.0000, 0.0000, 0.0000).



(12)
The following is a DFT calculation (GGA-PBE) of crystalline Pr2TmMg4In2 at its relaxed geometry.

The calculation puts the electronic total energy at -3.145 eV/atom. The value obtained for the spin magnetization is 0.00 μB/atom.

The structure belongs to space group Amm2 (No. 38); the cell edges are 4.776, 13.098 and 7.786 Å and the angles 90.00°, 90.00° and 90.00°. The inequivalent atoms are Pr at (0.000, 0.214, 0.000), Tm at (0.000, 0.000, 0.349), Mg at (0.000, 0.000, 0.770), Mg at (0.500, 0.000, 0.022), Mg at (0.500, 0.122, 0.660) and In at (0.500, 0.162, 0.286).



> The highest spin magnetization belongs to which entry?

number 3



Copy entry 9 word for word.
The following is a DFT calculation (GGA-PBE) of crystalline Tb2PrMg3Tl2In at its relaxed geometry.

The calculation puts the electronic total energy at -3.268 eV/atom. The value obtained for the spin magnetization is 0.00 μB/atom.

The structure belongs to space group Amm2 (No. 38); the cell edges are 4.717, 13.287 and 7.552 Å and the angles 90.00°, 90.00° and 90.00°. The inequivalent atoms are Tb at (0.000, 0.216, 0.000), Pr at (0.000, 0.000, 0.351), Mg at (0.500, 0.000, 0.028), Mg at (0.500, 0.120, 0.665), Tl at (0.500, 0.171, 0.284) and In at (0.000, 0.000, 0.793).